The following is a PBE-GGA calculation of a geometry-optimized AlNi2Pd2 structure, from OQMD via LeMat-Bulk.

Summary:
total moment	0.723	μB/cell
total energy	-5.14	eV/atom

a b c (Å): 3.2859 3.2859 6.7957
angles (deg): 103.99 103.99 90.00
With the nearest neighbours (Å) after each atom.
Positions (direct):
1 Pd 0.6006 0.6006 0.2013  4 Ni 2.52, 1 Pd 2.57, 4 Al 2.66
2 Pd 0.3994 0.3994 0.7987  4 Ni 2.52, 1 Pd 2.57, 4 Al 2.66
3 Ni 0.2500 0.7500 0.5000  4 Ni 2.32, 4 Pd 2.52
4 Ni 0.7500 0.2500 0.5000  4 Ni 2.32, 4 Pd 2.52
5 Al 0.0000 0.0000 0.0000  8 Pd 2.66

The following is a PBE-GGA calculation of a geometry-optimized AlNiPd structure, from OQMD via LeMat-Bulk.

Summary:
total moment	0.004	μB/cell
total energy	-5.21	eV/atom

a b c (Å): 3.9891 3.9891 3.9891
angles (deg): 60.00 60.00 60.00
With the nearest neighbours (Å) after each atom.
Positions (direct):
1 Al 0.0000 0.0000 0.0000  4 Pd 2.44, 4 Ni 2.44
2 Ni 0.2500 0.2500 0.2500  4 Al 2.44
3 Pd 0.7500 0.7500 0.7500  4 Al 2.44